Compound: Ba3PrPu2O9
Source: the Alexandria database
Functional: PBE
Structure: optimized geometry

```
data_Ba3PrPu2O9
_symmetry_space_group_name_H-M 'P -3 m 1'
_symmetry_Int_Tables_number 164
_symmetry_space_group_name_Hall '-P 3 2"'
_cell_length_a 6.2977
_cell_length_b 6.2977
_cell_length_c 7.7171
_cell_angle_alpha 90.00
_cell_angle_beta 90.00
_cell_angle_gamma 120.00
loop_
_atom_site_label
_atom_site_type_symbol
_atom_site_fract_x
_atom_site_fract_y
_atom_site_fract_z
_atom_site_occupancy
Ba1 Ba 0.0000 0.0000 0.0000 1
Ba2 Ba 0.3333 0.6667 0.6634 1
Pr1 Pr 0.0000 0.0000 0.5000 1
Pu1 Pu 0.3333 0.6667 0.1611 1
O1 O 0.0000 0.5000 0.0000 1
O2 O 0.1741 0.3481 0.3222 1
```

## Properties
- formation energy from raw total energies (meV/atom) = -2949.3
- E (eV/cell) = -128.075
- D(E_F) (states/eV per cell) = 9.24

=====

Compound: Pm2YCu
Source: the Alexandria database
Functional: PBE
Structure: optimized geometry

```
data_Pm2YCu
_symmetry_space_group_name_H-M 'R 3 m'
_symmetry_Int_Tables_number 160
_symmetry_space_group_name_Hall 'R 3 -2"'
_cell_length_a 3.6910
_cell_length_b 3.6910
_cell_length_c 29.9026
_cell_angle_alpha 90.00
_cell_angle_beta 90.00
_cell_angle_gamma 120.00
loop_
_atom_site_label
_atom_site_type_symbol
_atom_site_fract_x
_atom_site_fract_y
_atom_site_fract_z
_atom_site_occupancy
Pm1 Pm 0.0000 0.0000 0.0000 1
Pm2 Pm 0.0000 0.0000 0.1957 1
Y1 Y 0.0000 0.0000 0.4308 1
Cu1 Cu 0.0000 0.0000 0.5979 1
```

## Properties
- E (eV/cell) = -59.459
- E_form (eV per atom) = 0.060
- D(E_F) (states/eV per cell) = 15.52
- energy above the most stable polymorph in this dataset (eV per atom) = 0.139

=====

Compound: CaNbF2
Source: the Alexandria database
Functional: PBE
Structure: optimized geometry

```
data_CaNbF2
_symmetry_space_group_name_H-M 'I -4 2 d'
_symmetry_Int_Tables_number 122
_symmetry_space_group_name_Hall 'I -4 2bw'
_cell_length_a 5.3492
_cell_length_b 5.3492
_cell_length_c 10.5655
_cell_angle_alpha 90.00
_cell_angle_beta 90.00
_cell_angle_gamma 90.00
loop_
_atom_site_label
_atom_site_type_symbol
_atom_site_fract_x
_atom_site_fract_y
_atom_site_fract_z
_atom_site_occupancy
Ca1 Ca 0.0000 0.0000 0.0000 1
Nb1 Nb 0.0000 0.0000 0.5000 1
F1 F 0.2327 0.2500 0.1250 1
```

## Properties
- formation energy from raw total energies (meV/atom) = -1499.3
- E (eV/cell) = -87.245
- D(E_F) (states/eV per cell) = 19.74
- energy above the most stable polymorph in this dataset (eV per atom) = 0.487

=====

Repeat the third record exactly.
Compound: CaNbF2
Source: the Alexandria database
Functional: PBE
Structure: optimized geometry

```
data_CaNbF2
_symmetry_space_group_name_H-M 'I -4 2 d'
_symmetry_Int_Tables_number 122
_symmetry_space_group_name_Hall 'I -4 2bw'
_cell_length_a 5.3492
_cell_length_b 5.3492
_cell_length_c 10.5655
_cell_angle_alpha 90.00
_cell_angle_beta 90.00
_cell_angle_gamma 90.00
loop_
_atom_site_label
_atom_site_type_symbol
_atom_site_fract_x
_atom_site_fract_y
_atom_site_fract_z
_atom_site_occupancy
Ca1 Ca 0.0000 0.0000 0.0000 1
Nb1 Nb 0.0000 0.0000 0.5000 1
F1 F 0.2327 0.2500 0.1250 1
```

## Properties
- formation energy from raw total energies (meV/atom) = -1499.3
- E (eV/cell) = -87.245
- D(E_F) (states/eV per cell) = 19.74
- energy above the most stable polymorph in this dataset (eV per atom) = 0.487

=====

Which of these has the lowest E? Ba3PrPu2O9

=====

Among the records above, which one has the lowest D(E_F)? Ba3PrPu2O9